VASP calculation (PBE) on a relaxed CdNi2Hg2 crystal.

Properties
energy of formation from the pure elements = 0.36 eV/atom
magnetic moment = 0.0 μB per formula unit
density = 10.94 Mg/m³
energy relative to the lowest polymorph listed for this composition = 0.228 eV/atom
N(E_F) = 0.62 states/eV per atom
volume = 19.16 Å³/atom
uncorrected energy = -2.25 eV/atom

```
CdNi2Hg2
1.0
-0.166 3.007 -2.733
0.157 -2.729 -3.011
-5.788 -0.186 -2.879
Ni Cd Hg
2 1 2
Cartesian
-4.661 0.017 -5.750
-1.136 0.075 -2.874
0.000 0.000 0.000
-2.979 1.480 -4.242
-2.818 -1.388 -4.381
```



VASP calculation (PBE) on a relaxed Cd2NiHg crystal.

Properties
energy of formation from the pure elements = 0.05 eV/atom
magnetic moment = 0.0 μB per formula unit
density = 9.78 Mg/m³
N(E_F) = 0.53 states/eV per atom
volume = 20.55 Å³/atom
uncorrected energy = -1.93 eV/atom

```
Cd2NiHg
1.0
6.766 0.015 0.003
4.630 4.933 -0.003
-5.281 -3.433 2.469
Cd Hg Ni
2 1 1
Cartesian
4.955 2.151 0.000
0.743 0.323 0.000
3.591 -0.472 1.236
2.523 1.987 1.233
```



VASP calculation (PBE) on a relaxed Cd2Ni2Hg crystal.

Properties
energy of formation from the pure elements = 0.07 eV/atom
magnetic moment = 0.0 μB per formula unit
density = 10.35 Mg/m³
energy relative to the lowest polymorph listed for this composition = 0.000 eV/atom
N(E_F) = 0.68 states/eV per atom
volume = 17.42 Å³/atom
uncorrected energy = -2.67 eV/atom

```
Cd2Ni2Hg
1.0
-4.665 4.867 -0.121
-4.489 -4.365 -2.503
-1.071 -0.939 3.558
Hg Cd Ni
2 4 4
Cartesian
-4.577 0.251 -1.312
0.000 0.000 0.000
-2.839 0.446 1.327
-5.939 2.133 0.838
-7.386 -0.882 -0.392
-4.286 -2.569 0.096
-5.654 -1.995 -2.229
-2.267 -1.005 -0.948
-6.887 1.507 -1.676
-3.500 2.497 -0.395
```



VASP calculation (PBE) on a relaxed Cd2Ni2Hg crystal.

Properties
energy of formation from the pure elements = 0.21 eV/atom
magnetic moment = 0.6 μB per formula unit
density = 9.49 Mg/m³
energy relative to the lowest polymorph listed for this composition = 0.141 eV/atom
N(E_F) = 1.17 states/eV per atom
volume = 19.01 Å³/atom
uncorrected energy = -2.53 eV/atom

```
Cd2Ni2Hg
1.0
-1.528 2.819 0.984
0.138 -1.037 3.187
6.816 4.650 2.984
Hg Cd Ni
1 2 2
Cartesian
0.000 0.000 0.000
1.159 1.819 2.307
4.267 4.613 4.847
3.129 2.252 4.128
2.296 4.180 3.026
```



VASP calculation (PBE) on a relaxed CdNiHg2 crystal.

Properties
energy of formation from the pure elements = 0.09 eV/atom
magnetic moment = 0.0 μB per formula unit
density = 11.29 Mg/m³
N(E_F) = 0.63 states/eV per atom
volume = 21.04 Å³/atom
uncorrected energy = -1.74 eV/atom

```
CdNiHg2
1.0
-3.738 4.489 3.672
-5.212 4.384 1.107
-3.342 -2.194 2.011
Cd Hg Ni
1 2 1
Cartesian
-2.688 0.904 1.508
-9.586 5.742 5.273
-3.358 -2.164 2.019
-6.148 3.341 3.396
```



VASP calculation (PBE) on a relaxed Cd2NiHg crystal.

Properties
energy of formation from the pure elements = 0.17 eV/atom
magnetic moment = 0.0 μB per formula unit
density = 10.57 Mg/m³
N(E_F) = 0.43 states/eV per atom
volume = 19.01 Å³/atom
uncorrected energy = -1.81 eV/atom

```
Cd2NiHg
1.0
6.713 -0.004 -0.011
-2.586 4.265 -0.004
1.540 0.934 2.653
Cd Hg Ni
2 1 1
Cartesian
0.000 0.000 0.000
4.126 0.465 1.321
-0.523 2.599 1.325
2.063 2.130 -0.007
```



VASP calculation (PBE) on a relaxed CdNiHg2 crystal.

Properties
energy of formation from the pure elements = 0.21 eV/atom
magnetic moment = 0.0 μB per formula unit
density = 11.84 Mg/m³
N(E_F) = 0.30 states/eV per atom
volume = 20.06 Å³/atom
uncorrected energy = -1.61 eV/atom

```
CdNiHg2
1.0
9.438 0.012 0.007
8.904 3.130 0.007
8.904 1.525 2.733
Cd Hg Ni
1 2 1
Cartesian
20.434 3.501 2.061
13.955 2.391 1.407
26.912 4.611 2.714
6.811 1.167 0.687
```



VASP calculation (PBE) on a relaxed CdNi2Hg crystal.

Properties
energy of formation from the pure elements = 0.18 eV/atom
magnetic moment = 0.0 μB per formula unit
density = 11.34 Mg/m³
N(E_F) = 0.92 states/eV per atom
volume = 15.75 Å³/atom
uncorrected energy = -3.02 eV/atom

```
CdNi2Hg
1.0
5.403 0.030 0.033
2.662 4.702 -0.033
-3.505 -3.265 2.500
Ni Hg Cd
2 1 1
Cartesian
0.152 0.089 0.000
1.429 1.804 1.234
3.098 -0.357 1.266
3.915 2.297 0.000
```